[1]
A relaxed structure of Al2NiB2. Source: Alexandria via LeMat-Bulk, functional PBE.

Computed properties:
Total DFT energy (no corrections) = -54.88 eV for the cell shown

Lattice parameters (Å, degrees): 5.4649 5.4649 3.3006 90.00 90.00 90.00
Last column: nearest neighbours and their distance in Å.
Space group P4/mbm (No. 127)
Symmetry-distinct sites (fractional):
Al (0.1829, 0.3171, 0.0000)  6 B 2.28-2.34
Ni (0.0000, 0.0000, 0.5000)  4 B 2.20
B (0.1127, 0.6127, 0.5000)  1 B 1.74

[2]
A relaxed structure of Y6Se3S2N. Source: Alexandria via LeMat-Bulk, functional PBE.

Computed properties:
Total DFT energy (no corrections) = -175.33 eV for the cell shown

Lattice parameters (Å, degrees): 6.7672 11.7039 6.9426 90.00 108.95 90.00
Last column: nearest neighbours and their distance in Å.
Space group C2/m (No. 12)
Symmetry-distinct sites (fractional):
Y (0.2239, 0.1536, 0.2106)  1 N 2.50, 2 S 2.72-2.73
Y (0.2357, 0.0000, 0.7855)  1 N 2.51, 2 S 2.73
Se (0.0000, 0.1721, 0.5000)  6 Y 2.89-3.04
Se (0.0000, 0.5000, 0.5000)  6 Y 2.88-3.07
S (0.0000, 0.3338, 0.0000)  6 Y 2.72-2.73
N (0.0000, 0.0000, 0.0000)  6 Y 2.50-2.51

[3]
A relaxed structure of Ti2Sb4Te. Source: Alexandria via LeMat-Bulk, functional PBE.

Computed properties:
Total DFT energy (no corrections) = -63.26 eV for the cell shown

Lattice parameters (Å, degrees): 5.6348 5.6348 13.8453 90.00 90.00 90.00
Last column: nearest neighbours and their distance in Å.
Space group I4/mmm (No. 139)
Symmetry-distinct sites (fractional):
Ti (0.0000, 0.0000, 0.0871)  1 Ti 2.41, 1 Sb 2.63
Sb (0.0000, 0.0000, 0.2768)  1 Ti 2.63
Sb (0.0000, 0.5000, 0.0000)  2 Te 2.82, 4 Ti 3.06
Te (0.0000, 0.0000, 0.5000)  6 Sb 2.82-3.09

Please write out number 3 again, unchanged.
A relaxed structure of Ti2Sb4Te. Source: Alexandria via LeMat-Bulk, functional PBE.

Computed properties:
Total DFT energy (no corrections) = -63.26 eV for the cell shown

Lattice parameters (Å, degrees): 5.6348 5.6348 13.8453 90.00 90.00 90.00
Last column: nearest neighbours and their distance in Å.
Space group I4/mmm (No. 139)
Symmetry-distinct sites (fractional):
Ti (0.0000, 0.0000, 0.0871)  1 Ti 2.41, 1 Sb 2.63
Sb (0.0000, 0.0000, 0.2768)  1 Ti 2.63
Sb (0.0000, 0.5000, 0.0000)  2 Te 2.82, 4 Ti 3.06
Te (0.0000, 0.0000, 0.5000)  6 Sb 2.82-3.09